Entry from the Alexandria database: a crystal of YCd2Rh relaxed with PBEsol (meta-GGA SCAN).

The calculation puts the calculated formation energy at -9.93 kcal/mol of atoms. The size of the total moment is 0.0 μB per formula unit. The crystal system is orthorhombic. The symmetry is Amm2. Its density is 8.2 g/cm3.

Unit cell a=3.8745 b=6.1197 c=6.1197 alpha=35.37 beta=90.00 gamma=90.00
Last column: nearest neighbours and their distance in Å.
Fractional coordinates of all 4 atoms:
Y (0.0000, 0.0000, 0.0000)  4 Rh 2.78
Cd (0.0000, 0.7265, 0.7265)  2 Rh 2.73, 4 Cd 2.91
Cd (0.5000, 0.3235, 0.3235)  1 Rh 2.78, 4 Cd 2.91
Rh (0.5000, 0.5617, 0.5617)  3 Cd 2.73-2.78, 4 Y 2.78

---

Entry from the Alexandria database: a crystal of YCd2Rh relaxed with PBEsol (meta-GGA SCAN).

The calculation puts the calculated formation energy at -7.28 kcal/mol of atoms. The size of the total moment is 0.0 μB per formula unit. The crystal system is cubic. The symmetry is Fm-3m. Its density is 8.9 g/cm3.

Unit cell a=4.7844 b=4.7844 c=4.7844 alpha=60.00 beta=60.00 gamma=60.00
Last column: nearest neighbours and their distance in Å.
Fractional coordinates of all 4 atoms:
Y (0.0000, 0.0000, 0.0000)  8 Cd 2.93
Cd (0.2500, 0.2500, 0.2500)  4 Rh 2.93, 4 Y 2.93
Cd (0.7500, 0.7500, 0.7500)  4 Rh 2.93, 4 Y 2.93
Rh (0.5000, 0.5000, 0.5000)  8 Cd 2.93

---

Entry from the Alexandria database: a crystal of Y2ZrCdRh relaxed with PBEsol (meta-GGA SCAN).

The calculation puts the calculated formation energy at 15.86 kcal/mol of atoms. The size of the total moment is 2.2 μB per formula unit. The crystal system is tetragonal. The symmetry is P4/mmm. Its density is 5.8 g/cm3.

Unit cell a=5.3769 b=5.3769 c=4.8141 alpha=90.00 beta=90.00 gamma=90.00
Last column: nearest neighbours and their distance in Å.
Fractional coordinates of all 5 atoms:
Y (0.0000, 0.5000, 0.0000)  2 Cd 2.69
Y (0.5000, 0.0000, 0.0000)  2 Cd 2.69
Zr (0.0000, 0.0000, 0.5000)  8 Y 3.61, 4 Rh 3.80
Cd (0.5000, 0.5000, 0.0000)  2 Rh 2.41, 4 Y 2.69
Rh (0.5000, 0.5000, 0.5000)  2 Cd 2.41